Model i:
First-principles (PBE-GGA) data for a relaxed CaZn3P crystal, as listed in Alexandria.

Lattice parameters (Å, degrees): 5.616 5.616 5.616 90.00 90.00 90.00
Space group Pm-3m (No. 221)
One atom of each set of equivalent atoms:
Ca 0.000 0.000 0.000 [1 per cell]
Zn 0.000 0.000 0.500 [3 per cell]
P 0.500 0.500 0.500 [1 per cell]


Model ii:
First-principles (PBE-GGA) data for a relaxed CaZn3P crystal, as listed in Alexandria.

Lattice parameters (Å, degrees): 4.821 4.821 4.821 90.00 90.00 90.00
Space group Pm-3m (No. 221)
One atom of each set of equivalent atoms:
Ca 0.000 0.000 0.000 [1 per cell]
Zn 0.000 0.500 0.500 [3 per cell]
P 0.500 0.500 0.500 [1 per cell]


model ii wins, 1033 meV/atom ahead of the next structure.


Model i:
First-principles (PBE-GGA) data for a relaxed CaZrP2 crystal, as listed in Alexandria.

Lattice parameters (Å, degrees): 3.906 3.749 12.318 90.00 90.00 90.00
Space group Amm2 (No. 38)
One atom of each set of equivalent atoms:
Ca 0.000 0.000 0.000 [2 per cell]
Zr 0.500 0.000 0.271 [2 per cell]
P 0.000 0.000 0.737 [2 per cell]
P 0.500 0.000 0.467 [2 per cell]


Model ii:
First-principles (PBE-GGA) data for a relaxed CaZrP2 crystal, as listed in Alexandria.

Lattice parameters (Å, degrees): 3.273 3.366 7.074 90.00 90.00 90.00
Space group Pmmm (No. 47)
One atom of each set of equivalent atoms:
Ca 0.000 0.000 0.000 [1 per cell]
Zr 0.000 0.000 0.500 [1 per cell]
P 0.500 0.500 0.280 [2 per cell]


model i wins, 90 meV/atom ahead of the next structure.


Model i:
First-principles (PBE-GGA) data for a relaxed CaZrP2 crystal, as listed in Alexandria.

Lattice parameters (Å, degrees): 3.899 3.899 5.443 90.00 90.00 90.00
Space group P4/mmm (No. 123)
One atom of each set of equivalent atoms:
Ca 0.000 0.000 0.000 [1 per cell]
Zr 0.500 0.500 0.500 [1 per cell]
P 0.000 0.000 0.500 [1 per cell]
P 0.500 0.500 0.000 [1 per cell]


Model ii:
First-principles (PBE-GGA) data for a relaxed CaZrP2 crystal, as listed in Alexandria.

Lattice parameters (Å, degrees): 3.8335 3.8335 20.4188 90.00 90.00 120.00
Space group R3m (No. 160, hexagonal axes)
One atom of each set of equivalent atoms:
Ca 0.0000 0.0000 0.0000 [3 per cell]
Zr 0.0000 0.0000 0.1717 [3 per cell]
P 0.0000 0.0000 0.5773 [3 per cell]
P 0.0000 0.0000 0.7628 [3 per cell]


Model iii:
First-principles (PBE-GGA) data for a relaxed CaZrP2 crystal, as listed in Alexandria.

Lattice parameters (Å, degrees): 4.095 5.475 7.202 90.00 90.00 90.00
Space group Immm (No. 71)
One atom of each set of equivalent atoms:
Ca 0.000 0.000 0.000 [2 per cell]
Zr 0.000 0.000 0.500 [2 per cell]
P 0.000 0.500 0.240 [4 per cell]


model ii wins, 58 meV/atom ahead of the next structure.


Model i:
First-principles (PBE-GGA) data for a relaxed CaZrP2 crystal, as listed in Alexandria.

Lattice parameters (Å, degrees): 3.404 3.470 6.842 90.00 100.72 90.00
Space group P2/m (No. 10)
One atom of each set of equivalent atoms:
Ca 0.000 0.000 0.000 [1 per cell]
Zr 0.000 0.000 0.500 [1 per cell]
P 0.497 0.500 0.283 [2 per cell]


Model ii:
First-principles (PBE-GGA) data for a relaxed CaZrP2 crystal, as listed in Alexandria.

Lattice parameters (Å, degrees): 6.974 6.974 8.437 90.00 90.00 90.00
Space group I-42d (No. 122)
One atom of each set of equivalent atoms:
Ca 0.000 0.000 0.000 [4 per cell]
Zr 0.000 0.000 0.500 [4 per cell]
P 0.215 0.250 0.625 [8 per cell]


model i wins, 31 meV/atom ahead of the next structure.